Here is crystalline CoBiNO at its relaxed geometry from the Open Quantum Materials Database. Energies are from PBE with a Hubbard U.

Cell and atoms, written as POSCAR:
```
CoBiNO
1.0
3.613 0.000 0.000
0.000 5.609 0.000
0.000 0.000 5.863
Co Bi N O
2 2 2 2
Direct
0.000 0.219 0.000 Co
0.000 0.781 0.500 Co
0.500 0.265 0.466 Bi
0.500 0.735 0.966 Bi
0.500 0.361 0.072 N
0.500 0.639 0.572 N
0.000 0.109 0.680 O
0.000 0.891 0.180 O
```

Results
The space-group type is No. 26. As for the raw total energy: -5.677 eV per atom. Its energy above the most stable polymorph in this dataset is 129 meV/atom. The spin magnetization is 5.998 Bohr magnetons per cell.